Computed, not measured: an optimized crystal structure of Ti6Sb2O at the PBE level of DFT. Values from VASP.

Geometry as Quantum ESPRESSO input:
```
&SYSTEM
  ibrav = 0, nat = 9, ntyp = 3
/
ATOMIC_SPECIES
Ti 47.87 Ti.upf
Sb 121.76 Sb.upf
O 16.00 O.upf
CELL_PARAMETERS angstrom
3.2909 0.0000 0.0000
0.0000 7.3030 0.0000
0.0000 -3.6515 6.1519
ATOMIC_POSITIONS angstrom
Ti 1.6454 4.2838 0.0000
Ti 1.6454 1.3443 2.2537
Ti 1.6454 -2.3072 3.8982
Ti 0.0000 1.7848 0.0000
Ti 0.0000 2.7466 4.8425
Ti 0.0000 6.3981 1.3093
Sb 0.0000 -0.0280 4.0062
Sb 0.0000 3.6235 2.1456
O 1.6454 0.4119 0.0000
```

Calculated values
uncorrected energy: -7.3632 eV per atom
formation energy without anion corrections: -633 meV per atom
M_tot: 1.01 μB/f.u.

***

Computed, not measured: an optimized crystal structure of PmNd3Ag3 at the PBE level of DFT. Values from VASP.

Geometry as Quantum ESPRESSO input:
```
&SYSTEM
  ibrav = 0, nat = 14, ntyp = 3
/
ATOMIC_SPECIES
Pm 145.00 Pm.upf
Nd 144.24 Nd.upf
Ag 107.87 Ag.upf
CELL_PARAMETERS angstrom
-1.5250 4.0242 -5.9945
-6.7180 2.2358 2.0810
3.0195 6.0229 3.2755
ATOMIC_POSITIONS angstrom
Pm 1.1647 7.4292 2.3943
Pm -6.3883 4.8537 -3.0323
Nd -0.2689 4.3647 0.7938
Nd -3.6759 5.7750 1.3356
Nd -1.5477 6.5078 -1.9737
Nd -5.2138 2.7538 -0.2582
Nd -3.0292 3.5061 -3.6553
Nd -4.9547 7.9181 -1.4318
Ag -5.9422 10.8436 -1.4189
Ag -0.0111 3.5087 -2.1801
Ag -2.6053 2.6153 1.8542
Ag -5.2125 8.7741 1.5421
Ag -2.6182 9.6675 -2.4923
Ag 0.7186 1.4392 0.7808
```

Calculated values
uncorrected energy: -4.0495 eV per atom
M_tot: 1.01 μB/f.u.
relative energy among the computed polymorphs: 0.008 eV per atom

***

Computed, not measured: an optimized crystal structure of Ac2Pm5Y12 at the PBE level of DFT. Values from VASP.

Geometry as Quantum ESPRESSO input:
```
&SYSTEM
  ibrav = 0, nat = 19, ntyp = 3
/
ATOMIC_SPECIES
Ac 227.00 Ac.upf
Pm 145.00 Pm.upf
Y 88.91 Y.upf
CELL_PARAMETERS angstrom
7.2961 0.0000 0.0001
-3.6480 10.3179 -10.3448
0.0001 -6.5171 15.2385
ATOMIC_POSITIONS angstrom
Ac 1.8252 3.8008 4.8938
Ac 1.8229 0.0000 0.0001
Pm 0.0001 1.9023 2.4507
Pm 0.0000 7.6474 -4.1600
Pm 0.0001 -3.2586 7.6193
Pm 3.6481 -3.8466 9.0539
Pm 3.6481 1.8985 2.4431
Y 3.6481 8.7259 -7.7688
Y -1.9096 -0.4314 8.7121
Y 1.9100 -0.4313 8.7121
Y -1.8576 3.7221 -0.3130
Y 1.8578 3.7221 -0.3130
Y 3.6482 -4.8961 12.5804
Y 0.0000 8.6969 -7.6866
Y 5.5057 0.0787 5.2068
Y 1.7904 0.0786 5.2069
Y 5.5578 4.2321 -3.8182
Y 1.7381 4.2321 -3.8183
Y 0.0001 -4.9251 12.6626
```

Calculated values
uncorrected energy: -5.6411 eV per atom
M_tot: 0.00 μB/f.u.

***

Computed, not measured: an optimized crystal structure of Pr2Zn3CoCu12 at the PBE level of DFT. Values from VASP.

Geometry as Quantum ESPRESSO input:
```
&SYSTEM
  ibrav = 0, nat = 18, ntyp = 4
/
ATOMIC_SPECIES
Pr 140.91 Pr.upf
Zn 65.41 Zn.upf
Co 58.93 Co.upf
Cu 63.55 Cu.upf
CELL_PARAMETERS angstrom
9.3616 1.8794 1.3331
6.2575 7.2122 1.3331
6.2575 3.6424 6.3660
ATOMIC_POSITIONS angstrom
Pr 14.2606 8.3009 5.8877
Pr 7.6159 4.4331 3.1444
Zn 4.6808 0.9397 0.6665
Zn 3.1287 3.6061 0.6665
Zn 3.1287 1.8212 3.1830
Co 0.0000 0.0000 0.0000
Cu 11.6309 6.7701 6.2808
Cu 16.7336 9.7404 4.6957
Cu 14.9175 10.7718 7.6404
Cu 12.8445 6.0809 4.3131
Cu 16.7336 7.6517 7.6404
Cu 11.6309 8.1658 4.3131
Cu 10.2457 5.9638 2.7512
Cu 5.1429 2.9936 4.3364
Cu 6.9590 1.9621 1.3917
Cu 9.0321 6.6531 4.7190
Cu 5.1429 5.0822 1.3917
Cu 10.2457 4.5681 4.7190
```

Calculated values
uncorrected energy: -3.7102 eV per atom
M_tot: 0.58 μB/f.u.